1.
VASP calculation (PBE) on an optimized crystal structure of Sm4SnSbTe2.

Geometry as CIF:
```
data_Sm4SnSbTe2
_chemical_formula_sum 'Sm4 Sn1 Sb1 Te2'
_cell_length_a 4.4736
_cell_length_b 7.7471
_cell_length_c 7.7430
_cell_angle_alpha 70.57
_cell_angle_beta 90.00
_cell_angle_gamma 90.00
_symmetry_space_group_name_H-M 'P 1'
_symmetry_Int_Tables_number 1
loop_
_symmetry_equiv_pos_as_xyz
'x,y,z'
loop_
_atom_site_label
_atom_site_type_symbol
_atom_site_fract_x
_atom_site_fract_y
_atom_site_fract_z
_atom_site_occupancy
Sm1 Sm 0.0000 0.7391 0.7557 1
Sm2 Sm 0.0000 0.2609 0.2443 1
Sm3 Sm 0.5000 0.7391 0.2512 1
Sm4 Sm 0.5000 0.2609 0.7488 1
Sn1 Sn 0.5000 0.5000 0.0000 1
Sb1 Sb 0.0000 0.5000 0.5000 1
Te1 Te 0.0000 0.0000 0.0000 1
Te2 Te 0.5000 0.0000 0.5000 1
```

Properties
DFT total energy = -5.3901 eV/atom
formation energy (no corrections) = -1229 meV per atom

=====

2.
VASP calculation (PBE) on an optimized crystal structure of Sm6SnSb2Te3.

Geometry as CIF:
```
data_Sm6SnSb2Te3
_chemical_formula_sum 'Sm6 Sn1 Sb2 Te3'
_cell_length_a 4.4717
_cell_length_b 8.9391
_cell_length_c 10.0041
_cell_angle_alpha 103.02
_cell_angle_beta 102.91
_cell_angle_gamma 90.00
_symmetry_space_group_name_H-M 'P 1'
_symmetry_Int_Tables_number 1
loop_
_symmetry_equiv_pos_as_xyz
'x,y,z'
loop_
_atom_site_label
_atom_site_type_symbol
_atom_site_fract_x
_atom_site_fract_y
_atom_site_fract_z
_atom_site_occupancy
Sm1 Sm 0.3372 0.9132 0.6743 1
Sm2 Sm 0.6687 0.5773 0.3374 1
Sm3 Sm 0.6628 0.0868 0.3257 1
Sm4 Sm 0.0015 0.2419 0.0031 1
Sm5 Sm 0.9985 0.7581 0.9969 1
Sm6 Sm 0.3313 0.4227 0.6626 1
Sn1 Sn 0.5000 0.0000 0.0000 1
Sb1 Sb 0.8332 0.6667 0.6663 1
Sb2 Sb 0.1668 0.3333 0.3337 1
Te1 Te 0.5000 0.5000 0.0000 1
Te2 Te 0.8323 0.1673 0.6647 1
Te3 Te 0.1677 0.8327 0.3353 1
```

Properties
DFT total energy = -5.4248 eV/atom
formation energy (no corrections) = -1259 meV per atom

=====

3.
VASP calculation (PBE) on an optimized crystal structure of Sm6Sn2SbTe3.

Geometry as CIF:
```
data_Sm6Sn2SbTe3
_chemical_formula_sum 'Sm6 Sn2 Sb1 Te3'
_cell_length_a 4.4738
_cell_length_b 8.9591
_cell_length_c 10.0022
_cell_angle_alpha 102.96
_cell_angle_beta 102.92
_cell_angle_gamma 90.00
_symmetry_space_group_name_H-M 'P 1'
_symmetry_Int_Tables_number 1
loop_
_symmetry_equiv_pos_as_xyz
'x,y,z'
loop_
_atom_site_label
_atom_site_type_symbol
_atom_site_fract_x
_atom_site_fract_y
_atom_site_fract_z
_atom_site_occupancy
Sm1 Sm 0.3349 0.9089 0.6698 1
Sm2 Sm 0.6688 0.5771 0.3377 1
Sm3 Sm 0.6651 0.0911 0.3302 1
Sm4 Sm 0.0036 0.2459 0.0073 1
Sm5 Sm 0.9964 0.7541 0.9927 1
Sm6 Sm 0.3312 0.4229 0.6623 1
Sn1 Sn 0.8332 0.6669 0.6664 1
Sn2 Sn 0.1668 0.3331 0.3336 1
Sb1 Sb 0.5000 0.0000 0.0000 1
Te1 Te 0.5000 0.5000 0.0000 1
Te2 Te 0.8344 0.1664 0.6687 1
Te3 Te 0.1656 0.8336 0.3313 1
```

Properties
DFT total energy = -5.3445 eV/atom
formation energy (no corrections) = -1189 meV per atom

=====

> Which formula does entry 2 have?

Sm6SnSb2Te3

=====

> The lowest DFT total energy belongs to which entry?

Sm6SnSb2Te3

=====

> The highest formation energy (no corrections) belongs to which entry?

Sm6Sn2SbTe3

=====

> DFT total energy of number 3 (Sm6Sn2SbTe3)?

-5.3445 eV/atom